Be2InRu2: relaxed, PBE.

The structure in extended XYZ format:
```
10
Lattice="6.7555 0.0000 0.0000 0.0000 6.7555 0.0000 0.0000 0.0000 2.9672" Properties=species:S:1:pos:R:3 pbc="T T T"
Be 0.9664 2.4114 0.0000
Be 2.4114 5.7891 0.0000
Be 4.3441 0.9664 0.0000
Be 5.7891 4.3441 0.0000
In 0.0000 0.0000 1.4836
In 3.3777 3.3777 1.4836
Ru 0.9470 4.3248 1.4836
Ru 2.4307 0.9470 1.4836
Ru 4.3248 5.8084 1.4836
Ru 5.8084 2.4307 1.4836
```

Values from the calculation:
E_form = 0.06 eV/atom
SG = No. 127

Be2InRu: relaxed, PBE.

The structure in extended XYZ format:
```
8
Lattice="-1.9771 1.9771 8.0698 1.9771 -1.9771 8.0698 1.9771 1.9771 -8.0698" Properties=species:S:1:pos:R:3 pbc="T T T"
Be 0.2457 0.9885 2.0174
Be -0.9885 1.7314 6.0523
Be -0.2457 2.9656 2.0174
Be 0.9885 2.2227 6.0523
In 1.9771 0.0000 4.0349
In 0.0000 0.0000 8.0698
Ru 0.0000 0.0000 0.0000
Ru 0.0000 1.9771 4.0349
```

Values from the calculation:
E_form = 0.39 eV/atom
SG = No. 122

BeInRu3: relaxed, PBE.

The structure in extended XYZ format:
```
5
Lattice="4.8543 0.0000 0.0000 0.0000 4.8543 0.0000 0.0000 0.0000 4.8543" Properties=species:S:1:pos:R:3 pbc="T T T"
Be 0.0000 0.0000 0.0000
In 2.4272 2.4272 2.4272
Ru 0.0000 2.4272 2.4272
Ru 2.4272 0.0000 2.4272
Ru 2.4272 2.4272 0.0000
```

Values from the calculation:
E_form = 2.34 eV/atom
SG = No. 221

BeInRu2: relaxed, PBE.

The structure in extended XYZ format:
```
4
Lattice="-1.9828 1.9828 3.6899 1.9828 -1.9828 3.6899 1.9828 1.9828 -3.6899" Properties=species:S:1:pos:R:3 pbc="T T T"
Be 0.0000 0.0000 0.0000
In 1.9828 0.0000 1.8449
Ru 0.0000 0.0000 3.6899
Ru 0.0000 1.9828 1.8449
```

Values from the calculation:
E_form = 0.26 eV/atom
SG = No. 119

Be2InRu2: relaxed, PBE.

The structure in extended XYZ format:
```
10
Lattice="6.3635 0.0000 0.0000 0.0000 6.3635 0.0000 0.0000 0.0000 3.0809" Properties=species:S:1:pos:R:3 pbc="T T T"
Be 0.7511 2.4307 0.0000
Be 2.4307 5.6125 0.0000
Be 3.9329 0.7511 0.0000
Be 5.6125 3.9329 0.0000
In 0.0000 0.0000 0.0000
In 3.1818 3.1818 0.0000
Ru 1.0635 4.2452 1.5404
Ru 2.1183 1.0635 1.5404
Ru 4.2452 5.3001 1.5404
Ru 5.3001 2.1183 1.5404
```

Values from the calculation:
E_form = -0.22 eV/atom
SG = No. 127

BeIn2RuS: relaxed, PBE.

The structure in extended XYZ format:
```
5
Lattice="5.2421 0.0000 0.0000 0.0000 5.2421 0.0000 0.0000 0.0000 3.5811" Properties=species:S:1:pos:R:3 pbc="T T T"
Be 0.0000 0.0000 0.0000
In 0.0000 2.6211 1.7905
In 2.6211 0.0000 1.7905
Ru 2.6211 2.6211 0.0000
S 0.0000 0.0000 1.7905
```

Values from the calculation:
Formation energy from raw total energies = 333 kJ/mol of formula units
SG = No. 123

Be3InS: relaxed, PBE.

The structure in extended XYZ format:
```
5
Lattice="4.5614 0.0000 0.0000 0.0000 4.5614 0.0000 0.0000 0.0000 4.5614" Properties=species:S:1:pos:R:3 pbc="T T T"
Be 0.0000 0.0000 2.2807
Be 0.0000 2.2807 0.0000
Be 2.2807 0.0000 0.0000
In 0.0000 0.0000 0.0000
S 2.2807 2.2807 2.2807
```

Values from the calculation:
Formation energy from raw total energies = 584 kJ/mol of formula units
SG = No. 221

Be3InS: relaxed, PBE.

The structure in extended XYZ format:
```
5
Lattice="4.2061 0.0000 0.0000 0.0000 4.2061 0.0000 0.0000 0.0000 4.2061" Properties=species:S:1:pos:R:3 pbc="T T T"
Be 0.0000 0.0000 2.1031
Be 0.0000 2.1031 0.0000
Be 2.1031 0.0000 0.0000
In 2.1031 2.1031 2.1031
S 0.0000 0.0000 0.0000
```

Values from the calculation:
Formation energy from raw total energies = 309 kJ/mol of formula units
SG = No. 221

BeIn2S: relaxed, PBE.

The structure in extended XYZ format:
```
4
Lattice="0.0000 3.4917 3.4917 3.4917 0.0000 3.4917 3.4917 3.4917 0.0000" Properties=species:S:1:pos:R:3 pbc="T T T"
Be 0.0000 0.0000 0.0000
In 1.7459 1.7459 1.7459
In 5.2376 5.2376 5.2376
S 3.4917 3.4917 3.4917
```

Values from the calculation:
Formation energy from raw total energies = 189 kJ/mol of formula units
SG = No. 225

BeIn2S: relaxed, PBE.

The structure in extended XYZ format:
```
8
Lattice="-3.0818 3.0818 5.4172 3.0818 -3.0818 5.4172 3.0818 3.0818 -5.4172" Properties=species:S:1:pos:R:3 pbc="T T T"
Be 0.0000 0.0000 0.0000
Be 0.0000 3.0818 2.7086
In 4.6226 1.3927 -1.3543
In 1.3927 1.5409 1.3543
In -1.5409 1.6890 4.0629
In 1.6890 1.5409 6.7715
S 3.0818 0.0000 2.7086
S 0.0000 0.0000 5.4172
```

Values from the calculation:
Formation energy from raw total energies = 62 kJ/mol of formula units
SG = No. 122

BeIn3S: relaxed, PBE.

The structure in extended XYZ format:
```
5
Lattice="4.8718 0.0000 0.0000 0.0000 4.8718 0.0000 0.0000 0.0000 4.8718" Properties=species:S:1:pos:R:3 pbc="T T T"
Be 0.0000 0.0000 0.0000
In 0.0000 0.0000 2.4359
In 0.0000 2.4359 0.0000
In 2.4359 0.0000 0.0000
S 2.4359 2.4359 2.4359
```

Values from the calculation:
Formation energy from raw total energies = 69 kJ/mol of formula units
SG = No. 221

SrBeIn2S: relaxed, PBE.

The structure in extended XYZ format:
```
5
Lattice="5.4140 0.0000 0.0000 0.0000 5.4140 0.0000 0.0000 0.0000 5.4947" Properties=species:S:1:pos:R:3 pbc="T T T"
Sr 0.0000 0.0000 0.0000
Be 2.7070 2.7070 0.0000
In 0.0000 2.7070 2.7474
In 2.7070 0.0000 2.7474
S 0.0000 0.0000 2.7474
```

Values from the calculation:
Formation energy from raw total energies = 133 kJ/mol of formula units
SG = No. 123